No. 1
Material: ScTi2MoPt
Method: DFT, PBE-GGA
State: optimized geometry

The space group is P4/mmm (No. 123) and the conventional cell measures 4.586, 4.586 and 5.038 Å, with angles of 90.00, 90.00 and 90.00 degrees. The distinct sites, in fractional coordinates, are Sc at (0.000, 0.000, 0.000), Ti at (0.000, 0.500, 0.500), Mo at (0.500, 0.500, 0.500) and Pt at (0.500, 0.500, 0.000).

The formation enthalpy at 0 K comes out at 0.419 eV per atom. As for the size of the total moment: 0.00 μB per formula unit.

---

No. 2
Material: Sc2TiMoPt
Method: DFT, PBE-GGA
State: optimized geometry

The space group is P4/mmm (No. 123) and the conventional cell measures 4.924, 4.924 and 4.538 Å, with angles of 90.00, 90.00 and 90.00 degrees. The distinct sites, in fractional coordinates, are Sc at (0.000, 0.500, 0.000), Ti at (0.000, 0.000, 0.500), Mo at (0.000, 0.000, 0.000) and Pt at (0.500, 0.500, 0.500).

The formation enthalpy at 0 K comes out at 0.496 eV per atom. As for the size of the total moment: 0.00 μB per formula unit.

---

No. 3
Material: MoPtSe4
Method: DFT, PBE-GGA
State: optimized geometry

The space group is F-43m (No. 216) and the conventional cell measures 7.808, 7.808 and 7.808 Å, with angles of 90.00, 90.00 and 90.00 degrees. The distinct sites, in fractional coordinates, are Mo at (0.000, 0.000, 0.000), Pt at (0.250, 0.250, 0.750) and Se at (0.124, 0.124, 0.376).

As for the size of the total moment: 2.79 μB per formula unit. The uncorrected formation energy is 1.14 eV per atom. As for the relative energy among the computed polymorphs: 1453 meV/atom.

---

No. 4
Material: MoPt2Se2
Method: DFT, PBE-GGA
State: optimized geometry

The space group is I4/mmm (No. 139) and the conventional cell measures 3.490, 3.490 and 15.823 Å, with angles of 90.00, 90.00 and 90.00 degrees. The distinct sites, in fractional coordinates, are Mo at (0.000, 0.000, 0.000), Pt at (0.000, 0.500, 0.250) and Se at (0.000, 0.000, 0.409).

As for the size of the total moment: 0.00 μB per formula unit. The uncorrected formation energy is 0.52 eV per atom. As for the relative energy among the computed polymorphs: 228 meV/atom.